CsBe3Zn: optimized geometry, PBE.

Values from the calculation:
Total moment: 0.0 μB per formula unit
Relative energy among the computed polymorphs: 0 kJ/mol of formula units
ρ: 3.8 g cm⁻³
Total DFT energy (no corrections): -1.681 eV/atom
Space group: No. 221

a b c (Å): 4.6287 4.6287 4.6287
angles (deg): 90.00 90.00 90.00
Fractional positions:
1 Be 0.0000 0.5000 0.0000
2 Be 0.0000 0.0000 0.5000
3 Be 0.5000 0.0000 0.0000
4 Cs 0.5000 0.5000 0.5000
5 Zn 0.0000 0.0000 0.0000


CsBe3Zn: optimized geometry, PBE.

Values from the calculation:
Total moment: 0.0 μB per formula unit
Relative energy among the computed polymorphs: 625 kJ/mol of formula units
ρ: 1.0 g cm⁻³
Total DFT energy (no corrections): -0.386 eV/atom
Space group: No. 221

a b c (Å): 7.1585 7.1585 7.1585
angles (deg): 90.00 90.00 90.00
Fractional positions:
1 Be 0.0000 0.5000 0.0000
2 Be 0.0000 0.0000 0.5000
3 Be 0.5000 0.0000 0.0000
4 Zn 0.5000 0.5000 0.5000
5 Cs 0.0000 0.0000 0.0000


CsBe2Zn2: optimized geometry, PBE.

Values from the calculation:
Total moment: 0.0 μB per formula unit
ρ: 3.6 g cm⁻³
Total DFT energy (no corrections): -1.718 eV/atom
Space group: No. 139

a b c (Å): 4.4037 4.4037 7.4038
angles (deg): 72.70 72.70 90.00
Fractional positions:
1 Cs 0.0000 0.0000 0.0000
2 Be 0.7171 0.7171 0.5657
3 Be 0.2829 0.2829 0.4343
4 Zn 0.7500 0.2500 0.5000
5 Zn 0.2500 0.7500 0.5000


| no. | V (A^3/atom) |
| --- | --- |
| 1 | 19.8 |
| 2 | 73.4 |
| 3 | 26.1 |